[1]
Here is Be2InReP after structural relaxation from Alexandria via LeMat-Bulk. Energies are from GGA-PBE.

Geometry as POSCAR:
```
Be2InReP
1.0
4.331 0.000 0.000
0.000 5.169 0.000
0.000 0.000 4.331
Be Re In P
2 1 1 1
Cartesian
0.000 0.000 2.165 Be
2.165 0.000 0.000 Be
0.000 0.000 0.000 Re
0.000 2.585 0.000 In
2.165 2.585 2.165 P
```

Symmetry = P4/mmm
E = -4.271 eV/atom

[2]
Here is BeInPS2 after structural relaxation from Alexandria via LeMat-Bulk. Energies are from GGA-PBE.

Geometry as POSCAR:
```
BeInPS2
1.0
4.987 0.000 0.000
0.000 4.987 0.000
0.000 0.000 5.095
P Be S In
1 1 2 1
Cartesian
0.000 0.000 2.547 P
2.494 2.494 2.547 Be
2.494 0.000 0.000 S
0.000 2.494 0.000 S
0.000 0.000 0.000 In
```

Polymorph energy (0 for the lowest one) = 925 meV/atom
Symmetry = P4/mmm
ΔE_f (raw) = 598 kJ/mol of formula units

[3]
Here is BeInPS2 after structural relaxation from Alexandria via LeMat-Bulk. Energies are from GGA-PBE.

Geometry as POSCAR:
```
BeInPS2
1.0
4.707 0.000 0.000
0.000 4.707 0.000
0.000 0.000 4.034
S Be In P
2 1 1 1
Cartesian
0.000 2.353 0.000 S
2.353 0.000 0.000 S
0.000 0.000 0.000 Be
2.353 2.353 2.017 In
0.000 0.000 2.017 P
```

Polymorph energy (0 for the lowest one) = 0 meV/atom
Symmetry = P4/mmm
ΔE_f (raw) = 152 kJ/mol of formula units